[1]
Entry from the Alexandria database: B2HPd after structural relaxation (GGA-PBEsol).

Results
E_tot = -4.70 eV per atom
Fermi-level density of states = 0.30 states/eV/atom
Calculated volume = 8.2 Å³/atom

The structure in CIF format:
```
data_B2HPd
_cell_length_a 5.086
_cell_length_b 5.086
_cell_length_c 5.086
_cell_angle_alpha 90.00
_cell_angle_beta 90.00
_cell_angle_gamma 90.00
_symmetry_space_group_name_H-M 'F m -3 m'
_symmetry_Int_Tables_number 225
_symmetry_space_group_name_Hall '-F 4 2 3'
loop_
_atom_site_label
_atom_site_type_symbol
_atom_site_fract_x
_atom_site_fract_y
_atom_site_fract_z
_atom_site_occupancy
B1 B 0.250 0.250 0.250 1
H1 H 0.000 0.000 0.000 1
Pd1 Pd 0.000 0.000 0.500 1
```



[2]
Entry from the Alexandria database: MgAgPt2Rh after structural relaxation (GGA-PBEsol).

Results
E_tot = -4.13 eV per atom
Fermi-level density of states = 1.50 states/eV/atom
Calculated volume = 21.8 Å³/atom
Energy of formation = 1.286 eV/atom

The structure in CIF format:
```
data_MgAgPt2Rh
_cell_length_a 4.810
_cell_length_b 4.810
_cell_length_c 4.713
_cell_angle_alpha 90.00
_cell_angle_beta 90.00
_cell_angle_gamma 90.00
_symmetry_space_group_name_H-M 'P 4/m m m'
_symmetry_Int_Tables_number 123
_symmetry_space_group_name_Hall '-P 4 2'
loop_
_atom_site_label
_atom_site_type_symbol
_atom_site_fract_x
_atom_site_fract_y
_atom_site_fract_z
_atom_site_occupancy
Mg1 Mg 0.000 0.000 0.000 1
Ag1 Ag 0.500 0.500 0.500 1
Pt1 Pt 0.000 0.500 0.500 1
Rh1 Rh 0.500 0.500 0.000 1
```



[3]
Entry from the Alexandria database: ReW2Au after structural relaxation (GGA-PBEsol).

Results
E_tot = -10.97 eV per atom
Fermi-level density of states = 0.72 states/eV/atom
Calculated volume = 15.6 Å³/atom
Energy of formation = 0.249 eV/atom

The structure in CIF format:
```
data_ReW2Au
_cell_length_a 2.824
_cell_length_b 3.967
_cell_length_c 5.587
_cell_angle_alpha 90.00
_cell_angle_beta 90.00
_cell_angle_gamma 90.00
_symmetry_space_group_name_H-M 'P m m m'
_symmetry_Int_Tables_number 47
loop_
_symmetry_equiv_pos_as_xyz
'x,y,z'
'-x,-y,-z'
'-x,-y,z'
'x,y,-z'
'x,-y,-z'
'-x,y,z'
'-x,y,-z'
'x,-y,z'
loop_
_atom_site_label
_atom_site_type_symbol
_atom_site_fract_x
_atom_site_fract_y
_atom_site_fract_z
_atom_site_occupancy
Re1 Re 0.000 0.000 0.000 1
W1 W 0.500 0.500 0.231 1
Au1 Au 0.000 0.000 0.500 1
```



[4]
Entry from the Alexandria database: ZnSbF2 after structural relaxation (GGA-PBEsol).

Results
E_tot = -3.99 eV per atom
Fermi-level density of states = 0.17 states/eV/atom
ΔE_f (raw) = -1.49 eV/atom
Calculated volume = 18.9 Å³/atom

The structure in CIF format:
```
data_ZnSbF2
_cell_length_a 3.1121
_cell_length_b 3.1121
_cell_length_c 27.0258
_cell_angle_alpha 90.00
_cell_angle_beta 90.00
_cell_angle_gamma 120.00
_symmetry_space_group_name_H-M 'R -3 m'
_symmetry_Int_Tables_number 166
_symmetry_space_group_name_Hall '-R 3 2"'
loop_
_atom_site_label
_atom_site_type_symbol
_atom_site_fract_x
_atom_site_fract_y
_atom_site_fract_z
_atom_site_occupancy
Zn1 Zn 0.0000 0.0000 0.0000 1
Sb1 Sb 0.0000 0.0000 0.5000 1
F1 F 0.0000 0.0000 0.3697 1
```



[5]
Entry from the Alexandria database: AlPtPb2C after structural relaxation (GGA-PBEsol).

Results
E_tot = -5.11 eV per atom
Fermi-level density of states = 0.41 states/eV/atom
Calculated volume = 19.2 Å³/atom
Energy of formation = 0.625 eV/atom

The structure in CIF format:
```
data_AlPtPb2C
_cell_length_a 5.120
_cell_length_b 5.120
_cell_length_c 3.663
_cell_angle_alpha 90.00
_cell_angle_beta 90.00
_cell_angle_gamma 90.00
_symmetry_space_group_name_H-M 'P 4/m m m'
_symmetry_Int_Tables_number 123
_symmetry_space_group_name_Hall '-P 4 2'
loop_
_atom_site_label
_atom_site_type_symbol
_atom_site_fract_x
_atom_site_fract_y
_atom_site_fract_z
_atom_site_occupancy
Al1 Al 0.000 0.000 0.000 1
Pt1 Pt 0.500 0.500 0.000 1
Pb1 Pb 0.000 0.500 0.500 1
C1 C 0.000 0.000 0.500 1
```



[6]
Entry from the Alexandria database: MgZn3 after structural relaxation (GGA-PBEsol).

Results
E_tot = -1.64 eV per atom
Fermi-level density of states = 0.30 states/eV/atom
Calculated volume = 16.3 Å³/atom
Energy of formation = -0.022 eV/atom

The structure in CIF format:
```
data_MgZn3
_cell_length_a 2.969
_cell_length_b 4.355
_cell_length_c 5.058
_cell_angle_alpha 90.00
_cell_angle_beta 90.00
_cell_angle_gamma 90.00
_symmetry_space_group_name_H-M 'P m m m'
_symmetry_Int_Tables_number 47
loop_
_symmetry_equiv_pos_as_xyz
'x,y,z'
'-x,-y,-z'
'-x,-y,z'
'x,y,-z'
'x,-y,-z'
'-x,y,z'
'-x,y,-z'
'x,-y,z'
loop_
_atom_site_label
_atom_site_type_symbol
_atom_site_fract_x
_atom_site_fract_y
_atom_site_fract_z
_atom_site_occupancy
Mg1 Mg 0.000 0.000 0.000 1
Zn1 Zn 0.500 0.000 0.500 1
Zn2 Zn 0.500 0.500 0.246 1
```



[7]
Entry from the Alexandria database: Na2ZnSn2 after structural relaxation (GGA-PBEsol).

Results
E_tot = -2.68 eV per atom
Fermi-level density of states = 0.45 states/eV/atom
Calculated volume = 25.5 Å³/atom
Energy of formation = -0.096 eV/atom

The structure in CIF format:
```
data_Na2ZnSn2
_cell_length_a 7.090
_cell_length_b 7.090
_cell_length_c 5.069
_cell_angle_alpha 90.00
_cell_angle_beta 90.00
_cell_angle_gamma 90.00
_symmetry_space_group_name_H-M 'P 4/m b m'
_symmetry_Int_Tables_number 127
_symmetry_space_group_name_Hall '-P 4 2ab'
loop_
_atom_site_label
_atom_site_type_symbol
_atom_site_fract_x
_atom_site_fract_y
_atom_site_fract_z
_atom_site_occupancy
Na1 Na 0.165 0.335 0.000 1
Zn1 Zn 0.000 0.000 0.500 1
Sn1 Sn 0.145 0.645 0.500 1
```



[8]
Entry from the Alexandria database: LiZnIr2 after structural relaxation (GGA-PBEsol).

Results
E_tot = -5.92 eV per atom
Fermi-level density of states = 0.69 states/eV/atom
Calculated volume = 13.4 Å³/atom
Energy of formation = -0.123 eV/atom

The structure in CIF format:
```
data_LiZnIr2
_cell_length_a 2.648
_cell_length_b 4.246
_cell_length_c 4.771
_cell_angle_alpha 90.00
_cell_angle_beta 93.30
_cell_angle_gamma 90.00
_symmetry_space_group_name_H-M 'P 1 2/m 1'
_symmetry_Int_Tables_number 10
loop_
_symmetry_equiv_pos_as_xyz
'x,y,z'
'-x,-y,-z'
'-x,y,-z'
'x,-y,z'
loop_
_atom_site_label
_atom_site_type_symbol
_atom_site_fract_x
_atom_site_fract_y
_atom_site_fract_z
_atom_site_occupancy
Li1 Li 0.000 0.000 0.000 1
Zn1 Zn 0.500 0.000 0.500 1
Ir1 Ir 0.240 0.500 0.761 1
```